The following is a DFT calculation (PBE-GGA) of an optimized crystal structure of Ho2MgSc8.

ΔH_f (0 K) = 0.151 eV per atom
M_tot = 0.0 μB per formula unit

a = 4.6864 Å, b = 4.6864 Å, c = 13.3136 Å
α = 90.00°, β = 90.00°, γ = 90.00°
Closest atoms and distances in Å follow each position.
Sites, in units of the cell vectors:
1 Ho 0.0000 0.0000 0.3182  12 Sc 3.25-3.37
2 Ho 0.0000 0.0000 0.6818  12 Sc 3.25-3.37
3 Sc 0.5000 0.5000 0.6768  8 Sc 3.30-3.32, 4 Ho 3.31
4 Sc 0.0000 0.5000 0.1491  2 Mg 3.07, 2 Ho 3.25, 6 Sc 3.30-3.31
5 Sc 0.5000 0.0000 0.8509  2 Mg 3.07, 2 Ho 3.25, 6 Sc 3.30-3.31
6 Sc 0.5000 0.0000 0.1491  2 Mg 3.07, 2 Ho 3.25, 6 Sc 3.30-3.31
7 Sc 0.5000 0.5000 0.3232  8 Sc 3.30-3.32, 4 Ho 3.31
8 Sc 0.0000 0.5000 0.8509  2 Mg 3.07, 2 Ho 3.25, 6 Sc 3.30-3.31
9 Sc 0.5000 0.0000 0.5000  8 Sc 3.31-3.32, 4 Ho 3.37
10 Sc 0.0000 0.5000 0.5000  8 Sc 3.31-3.32, 4 Ho 3.37
11 Mg 0.0000 0.0000 0.0000  8 Sc 3.07